Record 1
Computed, not measured: a relaxed Gd3Sn5Pb2 crystal at the GGA-PBE level of DFT.

Output
* symmetry: Cmmm
* calculated total energy: -0.1704 Ha/atom
* theoretical density: 8.982 g/cm3

```
Gd3Sn5Pb2
1.0
2.268 -12.893 0.000
2.268 12.893 0.000
0.000 0.000 4.677
Gd Sn Pb
3 5 2
direct
0.000 0.000 0.000
0.189 0.811 0.000
0.811 0.189 0.000
0.291 0.709 0.500
0.404 0.596 0.000
0.500 0.500 0.500
0.596 0.404 0.000
0.709 0.291 0.500
0.098 0.902 0.500
0.902 0.098 0.500
```


Record 2
Computed, not measured: a relaxed La3HfN2 crystal at the GGA-PBE level of DFT.

Output
* symmetry: P-4m2
* calculated total energy: -0.2534 Ha/atom
* theoretical density: 8.791 g/cm3

```
La3HfN2
1.0
3.991 0.000 0.000
0.000 3.991 0.000
0.000 0.000 7.390
La Hf N
3 1 2
direct
0.000 0.000 0.000
0.000 0.500 0.632
0.500 0.000 0.368
0.500 0.500 0.000
0.000 0.500 0.255
0.500 0.000 0.745
```


Record 3
Computed, not measured: a relaxed LiZnFeSb crystal at the GGA-PBE level of DFT.

Output
* symmetry: F-43m
* calculated total energy: -0.1337 Ha/atom
* theoretical density: 6.917 g/cm3

```
LiZnFeSb
1.0
0.000 3.107 3.107
3.107 0.000 3.107
3.107 3.107 0.000
Li Zn Fe Sb
1 1 1 1
direct
0.000 0.000 0.000
0.500 0.500 0.500
0.250 0.250 0.250
0.750 0.750 0.750
```


Record 4
Computed, not measured: a relaxed TbAgPbS3 crystal at the GGA-PBE level of DFT.

Output
* symmetry: Cmcm
* calculated total energy: -0.1816 Ha/atom
* theoretical density: 6.817 g/cm3

```
TbAgPbS3
1.0
2.017 -6.605 0.000
2.017 6.605 0.000
0.000 0.000 10.425
Tb Ag Pb S
2 2 2 6
direct
0.000 0.000 0.000
0.000 0.000 0.500
0.466 0.534 0.750
0.534 0.466 0.250
0.249 0.751 0.250
0.751 0.249 0.750
0.088 0.912 0.750
0.360 0.640 0.553
0.360 0.640 0.947
0.640 0.360 0.053
0.640 0.360 0.447
0.912 0.088 0.250
```


Record 5
Computed, not measured: a relaxed Zr9Ni11 crystal at the GGA-PBE level of DFT.

Output
* ΔH_f (0 K): -0.385 eV per atom
* symmetry: I4/m
* calculated total energy: -0.2680 Ha/atom
* theoretical density: 7.589 g/cm3

```
Zr9Ni11
1.0
-4.974 4.974 3.243
4.974 -4.974 3.243
4.974 4.974 -3.243
Zr Ni
9 11
direct
0.000 0.000 0.000
0.091 0.311 0.402
0.248 0.584 0.832
0.311 0.909 0.220
0.416 0.248 0.663
0.584 0.752 0.337
0.689 0.091 0.780
0.752 0.416 0.168
0.909 0.689 0.598
0.018 0.914 0.342
0.086 0.428 0.104
0.250 0.750 0.500
0.324 0.982 0.896
0.428 0.324 0.342
0.500 0.500 0.000
0.572 0.676 0.658
0.676 0.018 0.104
0.750 0.250 0.500
0.914 0.572 0.896
0.982 0.086 0.658
```


Record 6
Computed, not measured: a relaxed Er5Te3Pd crystal at the GGA-PBE level of DFT.

Output
* symmetry: P-62m
* calculated total energy: -0.1747 Ha/atom
* theoretical density: 9.142 g/cm3

```
Er5Te3Pd
1.0
8.293 0.000 0.000
-4.147 7.182 0.000
0.000 0.000 4.042
Er Te Pd
5 3 1
direct
0.000 0.662 0.000
0.333 0.667 0.500
0.338 0.338 0.000
0.662 0.000 0.000
0.667 0.333 0.500
0.000 0.274 0.500
0.274 0.000 0.500
0.726 0.726 0.500
0.000 0.000 0.000
```


Record 7
Computed, not measured: a relaxed TbAlGaAg2 crystal at the GGA-PBE level of DFT.

Output
* symmetry: P4/nmm
* calculated total energy: -0.1380 Ha/atom
* theoretical density: 7.767 g/cm3

```
TbAlGaAg2
1.0
4.243 0.000 0.000
0.000 4.243 0.000
0.000 0.000 11.197
Tb Al Ga Ag
2 2 2 4
direct
0.250 0.250 0.247
0.750 0.750 0.753
0.250 0.750 0.500
0.750 0.250 0.500
0.250 0.250 0.860
0.750 0.750 0.140
0.250 0.250 0.635
0.250 0.750 0.000
0.750 0.250 0.000
0.750 0.750 0.365
```


Record 8
Computed, not measured: a relaxed DyAgNO crystal at the GGA-PBE level of DFT.

Output
* symmetry: Pmc2_1
* calculated total energy: -0.2243 Ha/atom
* theoretical density: 7.306 g/cm3

```
DyAgNO
1.0
3.924 0.000 0.000
0.000 6.204 0.000
0.000 0.000 5.609
Dy Ag N O
2 2 2 2
direct
0.000 0.190 0.000
0.000 0.810 0.500
0.500 0.346 0.500
0.500 0.654 0.000
0.500 0.326 0.881
0.500 0.674 0.381
0.000 0.137 0.380
0.000 0.863 0.880
```


Record 9
Computed, not measured: a relaxed Ag15Hg crystal at the GGA-PBE level of DFT.

Output
* ΔH_f (0 K): 0.040 eV per atom
* symmetry: Pccm
* calculated total energy: -0.0965 Ha/atom
* theoretical density: 9.072 g/cm3

```
Ag15Hg
1.0
8.192 0.000 0.000
0.000 39.625 0.000
0.000 0.000 4.102
Ag Hg
60 4
direct
0.121 0.106 0.000
0.121 0.894 0.500
0.125 0.211 0.000
0.125 0.264 0.500
0.125 0.317 0.000
0.125 0.369 0.500
0.125 0.421 0.000
0.125 0.474 0.500
0.125 0.526 0.000
0.125 0.579 0.500
0.125 0.631 0.000
0.125 0.683 0.500
0.125 0.736 0.000
0.125 0.789 0.500
0.126 0.159 0.500
0.126 0.841 0.000
0.374 0.212 0.500
0.374 0.788 0.000
0.375 0.317 0.500
0.375 0.369 0.000
0.375 0.421 0.500
0.375 0.474 0.000
0.375 0.526 0.500
0.375 0.579 0.000
0.375 0.631 0.500
0.375 0.683 0.000
0.376 0.264 0.000
0.376 0.736 0.500
0.377 0.159 0.000
0.377 0.841 0.500
0.623 0.159 0.500
0.623 0.841 0.000
0.624 0.264 0.500
0.624 0.736 0.000
0.625 0.317 0.000
0.625 0.369 0.500
0.625 0.421 0.000
0.625 0.474 0.500
0.625 0.526 0.000
0.625 0.579 0.500
0.625 0.631 0.000
0.625 0.683 0.500
0.626 0.212 0.000
0.626 0.788 0.500
0.874 0.159 0.000
0.874 0.841 0.500
0.875 0.211 0.500
0.875 0.264 0.000
0.875 0.317 0.500
0.875 0.369 0.000
0.875 0.421 0.500
0.875 0.474 0.000
0.875 0.526 0.500
0.875 0.579 0.000
0.875 0.631 0.500
0.875 0.683 0.000
0.875 0.736 0.500
0.875 0.789 0.000
0.879 0.106 0.500
0.879 0.894 0.000
0.365 0.098 0.500
0.365 0.902 0.000
0.635 0.098 0.000
0.635 0.902 0.500
```


Record 10
Computed, not measured: a relaxed GaCoB crystal at the GGA-PBE level of DFT.

Output
* symmetry: F-43m
* calculated total energy: -0.2033 Ha/atom
* theoretical density: 7.118 g/cm3

```
GaCoB
1.0
0.000 2.534 2.534
2.534 0.000 2.534
2.534 2.534 0.000
Ga Co B
1 1 1
direct
0.000 0.000 0.000
0.500 0.500 0.500
0.750 0.750 0.750
```


Record 11
Computed, not measured: a relaxed LaPr2S3 crystal at the GGA-PBE level of DFT.

Output
* symmetry: P-3m1
* calculated total energy: -0.2408 Ha/atom
* theoretical density: 5.790 g/cm3

```
LaPr2S3
1.0
4.119 0.000 0.000
-2.060 3.568 0.000
0.000 0.000 10.087
La Pr S
1 2 3
direct
0.000 0.000 0.000
0.333 0.667 0.665
0.667 0.333 0.335
0.000 0.000 0.500
0.333 0.667 0.169
0.667 0.333 0.831
```


Record 12
Computed, not measured: a relaxed AlTc2Ir crystal at the GGA-PBE level of DFT.

Output
* symmetry: F-43m
* calculated total energy: -0.3130 Ha/atom
* theoretical density: 11.838 g/cm3

```
AlTc2Ir
1.0
0.000 3.077 3.077
3.077 0.000 3.077
3.077 3.077 0.000
Al Tc Ir
1 2 1
direct
0.000 0.000 0.000
0.500 0.500 0.500
0.750 0.750 0.750
0.250 0.250 0.250
```


Record 13
Computed, not measured: a relaxed Ag6PbO8 crystal at the GGA-PBE level of DFT.

Output
* symmetry: Fm-3m
* calculated total energy: -0.1521 Ha/atom
* theoretical density: 8.178 g/cm3

```
Ag6PbO8
1.0
0.000 4.638 4.638
4.638 0.000 4.638
4.638 4.638 0.000
Ag Pb O
6 1 8
direct
0.000 0.000 0.500
0.000 0.500 0.000
0.000 0.500 0.500
0.500 0.000 0.000
0.500 0.000 0.500
0.500 0.500 0.000
0.000 0.000 0.000
0.238 0.238 0.762
0.238 0.762 0.238
0.238 0.762 0.762
0.250 0.250 0.250
0.750 0.750 0.750
0.762 0.238 0.238
0.762 0.238 0.762
0.762 0.762 0.238
```


Record 14
Computed, not measured: a relaxed Al22Mo5 crystal at the GGA-PBE level of DFT.

Output
* symmetry: Fdd2
* calculated total energy: -0.1955 Ha/atom
* theoretical density: 4.249 g/cm3

```
Al22Mo5
1.0
0.000 36.946 2.471
4.593 0.000 2.471
4.593 36.946 0.000
Al Mo
44 10
direct
0.089 0.411 0.094
0.107 0.545 0.411
0.118 0.961 0.126
0.124 0.456 0.132
0.139 0.857 0.434
0.156 0.844 0.161
0.197 0.979 0.971
0.224 0.267 0.813
0.246 0.406 0.348
0.248 0.732 0.401
0.251 0.902 0.844
0.267 0.224 0.695
0.279 0.397 0.053
0.312 0.839 0.705
0.388 0.796 0.556
0.397 0.279 0.271
0.406 0.246 0.999
0.411 0.089 0.406
0.428 0.721 0.444
0.437 0.555 0.026
0.456 0.124 0.289
0.478 0.645 0.313
0.545 0.107 0.938
0.555 0.437 0.983
0.631 0.849 0.518
0.645 0.478 0.564
0.680 0.816 0.393
0.686 0.937 0.605
0.694 0.991 0.862
0.721 0.428 0.408
0.732 0.248 0.619
0.796 0.388 0.259
0.806 0.842 0.822
0.816 0.680 0.111
0.839 0.312 0.143
0.842 0.806 0.529
0.844 0.156 0.839
0.849 0.631 0.002
0.857 0.139 0.570
0.902 0.251 0.004
0.937 0.686 0.772
0.961 0.118 0.794
0.979 0.197 0.853
0.991 0.694 0.454
0.159 0.338 0.951
0.299 0.698 0.091
0.338 0.159 0.552
0.408 0.616 0.310
0.584 0.940 0.634
0.616 0.408 0.666
0.698 0.299 0.912
0.748 0.748 0.252
0.940 0.584 0.842
0.998 0.998 0.502
```


Record 15
Computed, not measured: a relaxed ZnSeO4 crystal at the GGA-PBE level of DFT.

Output
* symmetry: P-1
* calculated total energy: -0.1769 Ha/atom
* theoretical density: 5.700 g/cm3

```
ZnSeO4
1.0
4.595 0.000 0.000
0.411 4.803 0.000
0.030 -0.001 5.500
Zn Se O
2 2 8
direct
0.003 0.251 0.171
0.997 0.749 0.829
0.500 0.250 0.662
0.500 0.750 0.338
0.254 0.398 0.870
0.254 0.896 0.131
0.283 0.448 0.401
0.283 0.948 0.601
0.717 0.052 0.399
0.717 0.552 0.599
0.746 0.104 0.869
0.746 0.602 0.130
```


Record 16
Computed, not measured: a relaxed SrBe2Tc crystal at the GGA-PBE level of DFT.

Output
* symmetry: F-43m
* calculated total energy: -0.1387 Ha/atom
* theoretical density: 5.186 g/cm3

```
SrBe2Tc
1.0
0.000 3.195 3.195
3.195 0.000 3.195
3.195 3.195 0.000
Sr Be Tc
1 2 1
direct
0.000 0.000 0.000
0.250 0.250 0.250
0.500 0.500 0.500
0.750 0.750 0.750
```


Record 17
Computed, not measured: a relaxed CdFePbS3 crystal at the GGA-PBE level of DFT.

Output
* symmetry: Cmcm
* calculated total energy: -0.1625 Ha/atom
* theoretical density: 6.108 g/cm3

```
CdFePbS3
1.0
1.745 -7.227 0.000
1.745 7.227 0.000
0.000 0.000 10.168
Cd Fe Pb S
2 2 2 6
direct
0.143 0.857 0.750
0.857 0.143 0.250
0.500 0.500 0.000
0.500 0.500 0.500
0.170 0.830 0.250
0.830 0.170 0.750
0.103 0.897 0.506
0.103 0.897 0.994
0.489 0.511 0.750
0.511 0.489 0.250
0.897 0.103 0.006
0.897 0.103 0.494
```


Record 18
Computed, not measured: a relaxed ErLuZr2Sb2 crystal at the GGA-PBE level of DFT.

Output
* symmetry: I4mm
* calculated total energy: -0.2387 Ha/atom
* theoretical density: 8.590 g/cm3

```
ErLuZr2Sb2
1.0
-2.129 2.129 8.193
2.129 -2.129 8.193
2.129 2.129 -8.193
Er Lu Zr Sb
1 1 2 2
direct
0.000 0.000 0.000
0.649 0.649 0.000
0.324 0.824 0.500
0.824 0.324 0.500
0.189 0.189 0.000
0.459 0.459 0.000
```


Record 19
Computed, not measured: a relaxed NaAgGeTeSe2 crystal at the GGA-PBE level of DFT.

Output
* symmetry: Cmcm
* calculated total energy: -0.1248 Ha/atom
* theoretical density: 5.299 g/cm3

```
NaAgGeTeSe2
1.0
1.813 -7.360 0.000
1.813 7.360 0.000
0.000 0.000 11.483
Na Ag Ge Te Se
2 2 2 2 4
direct
0.238 0.762 0.750
0.762 0.238 0.250
0.430 0.570 0.250
0.570 0.430 0.750
0.000 0.000 0.000
0.000 0.000 0.500
0.082 0.918 0.250
0.918 0.082 0.750
0.374 0.626 0.039
0.374 0.626 0.461
0.626 0.374 0.539
0.626 0.374 0.961
```